Record 1
## Ba2InAs (PBE)

Data for a relaxed structure of Ba2InAs.

Cell lengths 9.8952, 9.8952, 9.8952 Å; angles 26.77, 26.77, 26.77 degrees
Last column: nearest neighbours and their distance in Å.
Fractional positions:
1 In 0.4751 0.4751 0.4751  3 As 2.90
2 Ba 0.0325 0.0325 0.0325  3 As 3.28
3 As 0.7669 0.7669 0.7669  3 In 2.90
4 Ba 0.2255 0.2255 0.2255  3 In 3.57

Properties
**Fermi-level density of states**: 1.45 states/eV per cell
**ΔE to the lowest computed polymorph**: 0.89 eV per formula unit
**E_form**: -499 meV per atom
**Total magnetization**: 0.0 μB per formula unit
**Crystal system**: trigonal
**Calculated density**: 4.5 g/cm3

Record 2
## BaLiInAs2 (PBE)

Data for a relaxed structure of BaLiInAs2.

Cell lengths 4.4777, 7.0669, 9.5566 Å; angles 97.99, 90.00, 108.47 degrees
Last column: nearest neighbours and their distance in Å.
Fractional positions:
1 Li 0.6725 0.3450 0.0621  4 As 2.58-2.72
2 As 0.3703 0.7406 0.6684  1 Li 2.72, 2 In 2.74
3 Ba 0.3437 0.6874 0.3180  5 As 3.28-3.66, 1 Li 3.61
4 As 0.6297 0.2594 0.3316  1 Li 2.72, 2 In 2.74
5 Li 0.3275 0.6550 0.9379  4 As 2.58-2.72
6 In 0.9400 0.8799 0.8177  4 As 2.65-2.78
7 As 0.1339 0.2677 0.9258  3 Li 2.58-2.60, 2 In 2.65-2.78
8 As 0.8661 0.7323 0.0742  3 Li 2.58-2.60, 2 In 2.65-2.78
9 Ba 0.6563 0.3126 0.6820  5 As 3.28-3.66, 1 Li 3.61
10 In 0.0600 0.1201 0.1823  4 As 2.65-2.78

Properties
**Fermi-level density of states**: 0.15 states/eV per cell
**E_form**: -735 meV per atom
**Total magnetization**: 0.0 μB per formula unit
**Crystal system**: monoclinic
**Calculated density**: 4.8 g/cm3

Record 3
## BaInMo2As (PBE)

Data for a relaxed structure of BaInMo2As.

Cell lengths 4.8035, 5.8905, 4.8035 Å; angles 90.00, 90.00, 90.00 degrees
Last column: nearest neighbours and their distance in Å.
Fractional positions:
1 As 0.0000 0.0000 0.0000  4 Mo 2.40
2 Mo 0.0000 0.0000 0.5000  2 As 2.40
3 In 0.5000 0.5000 0.5000  4 Ba 3.40, 8 Mo 3.80
4 Mo 0.5000 0.0000 0.0000  2 As 2.40
5 Ba 0.0000 0.5000 0.0000  2 As 2.95

Properties
**Fermi-level density of states**: 6.29 states/eV per cell
**E_form**: 863 meV per atom
**Total magnetization**: 0.0 μB per formula unit
**Crystal system**: tetragonal
**Calculated density**: 6.3 g/cm3

Record 4
## BaNaInAs2 (PBE)

Data for a relaxed structure of BaNaInAs2.

Cell lengths 4.5829, 8.2158, 9.0423 Å; angles 80.49, 75.32, 73.80 degrees
Last column: nearest neighbours and their distance in Å.
Fractional positions:
1 In 0.0432 0.1005 0.8131  4 As 2.73-2.81
2 Na 0.3541 0.3816 0.9102  4 As 2.91-2.99
3 As 0.8363 0.2392 0.0881  2 In 2.73-2.74, 3 Na 2.93-2.99
4 As 0.1637 0.7608 0.9119  2 In 2.73-2.74, 3 Na 2.93-2.99
5 As 0.5825 0.1953 0.6396  2 In 2.81, 1 Na 2.91
6 Ba 0.7932 0.7753 0.6382  5 As 3.31-3.33
7 In 0.9568 0.8995 0.1869  4 As 2.73-2.81
8 Ba 0.2068 0.2247 0.3618  5 As 3.31-3.33
9 Na 0.6459 0.6184 0.0898  4 As 2.91-2.99
10 As 0.4175 0.8047 0.3604  2 In 2.81, 1 Na 2.91

Properties
**Fermi-level density of states**: 0.39 states/eV per cell
**E_form**: -659 meV per atom
**Total magnetization**: 0.0 μB per formula unit
**Crystal system**: monoclinic
**Calculated density**: 4.5 g/cm3

Record 5
## Ba2In2As2P (PBE)

Data for a relaxed structure of Ba2In2As2P.

Cell lengths 4.4551, 6.7859, 9.1003 Å; angles 57.94, 104.14, 89.98 degrees
Last column: nearest neighbours and their distance in Å.
Fractional positions:
1 P 0.0000 0.0000 0.0000  2 In 2.62
2 In 0.0753 0.5442 0.1493  1 P 2.62, 2 As 2.70
3 Ba 0.6500 0.8939 0.3002  2 P 3.23, 4 As 3.40-3.42
4 In 0.9247 0.4558 0.8507  1 P 2.62, 2 As 2.70
5 As 0.6768 0.3558 0.3527  2 In 2.70
6 As 0.3232 0.6442 0.6473  2 In 2.70
7 Ba 0.3500 0.1061 0.6998  2 P 3.23, 4 As 3.40-3.42

Properties
**Fermi-level density of states**: 2.73 states/eV per cell
**E_form**: -693 meV per atom
**Total magnetization**: 0.0 μB per formula unit
**Crystal system**: monoclinic
**Calculated density**: 5.1 g/cm3

Record 6
## BaInAs2Pb (PBE)

Data for a relaxed structure of BaInAs2Pb.

Cell lengths 4.7557, 9.0683, 8.4421 Å; angles 66.64, 73.64, 74.80 degrees
Last column: nearest neighbours and their distance in Å.
Fractional positions:
1 Pb 0.4487 0.3852 0.7173  3 As 2.77-3.03
2 As 0.1119 0.7357 0.0405  2 In 2.80-2.86, 2 Pb 3.03
3 In 0.0894 0.0505 0.7707  4 As 2.80-2.86
4 In 0.9106 0.9495 0.2293  4 As 2.80-2.86
5 As 0.6425 0.1375 0.5776  1 Pb 2.77, 2 In 2.80
6 Ba 0.2330 0.2851 0.2489  6 As 3.39-3.71
7 Pb 0.5513 0.6148 0.2827  3 As 2.77-3.03
8 Ba 0.7670 0.7149 0.7511  6 As 3.39-3.71
9 As 0.3575 0.8625 0.4224  1 Pb 2.77, 2 In 2.80
10 As 0.8881 0.2643 0.9595  2 In 2.80-2.86, 2 Pb 3.03

Properties
**Fermi-level density of states**: 2.42 states/eV per cell
**E_form**: -486 meV per atom
**Total magnetization**: 0.0 μB per formula unit
**Crystal system**: monoclinic
**Calculated density**: 6.4 g/cm3

Record 7
## Ba2InAs3Pd4 (PBE)

Data for a relaxed structure of Ba2InAs3Pd4.

Cell lengths 4.5757, 4.5757, 10.6692 Å; angles 90.00, 90.00, 90.00 degrees
Last column: nearest neighbours and their distance in Å.
Fractional positions:
1 As 0.0000 0.5000 0.1201  5 Pd 2.58-2.62
2 Ba 0.5000 0.0000 0.2405  8 Pd 3.44-3.49, 7 As 3.48-3.85, 2 In 3.59
3 Ba 0.0000 0.5000 0.7595  8 Pd 3.44-3.49, 7 As 3.48-3.85, 2 In 3.59
4 In 0.5000 0.5000 0.5000  4 Pd 2.72
5 As 0.0000 0.0000 0.5000  4 Pd 2.72
6 Pd 0.5000 0.0000 0.6376  3 As 2.58-2.72, 2 In 2.72
7 As 0.5000 0.0000 0.8799  5 Pd 2.58-2.62
8 Pd 0.0000 0.5000 0.3624  3 As 2.58-2.72, 2 In 2.72
9 Pd 0.0000 0.0000 0.0000  4 As 2.62
10 Pd 0.5000 0.5000 0.0000  4 As 2.62

Properties
**Fermi-level density of states**: 5.43 states/eV per cell
**E_form**: -715 meV per atom
**Total magnetization**: 0.0 μB per formula unit
**Crystal system**: tetragonal
**Calculated density**: 7.7 g/cm3

Record 8
## Ba2InAsPt6 (PBE)

Data for a relaxed structure of Ba2InAsPt6.

Cell lengths 6.8096, 7.0833, 7.1326 Å; angles 57.25, 60.97, 89.69 degrees
Last column: nearest neighbours and their distance in Å.
Fractional positions:
1 In 0.0000 0.0000 0.0000  6 Pt 2.69-2.70
2 Pt 0.7439 0.2587 0.1133  1 As 2.47, 1 In 2.69, 2 Pt 2.74
3 Pt 0.2563 0.1456 0.4862  1 As 2.47, 1 In 2.69, 2 Pt 2.73-2.74
4 Ba 0.2883 0.7111 0.4234  9 Pt 3.33-3.71
5 Pt 0.2561 0.7412 0.8867  1 As 2.47, 1 In 2.69, 2 Pt 2.74
6 As 0.5000 0.5000 0.0000  6 Pt 2.47
7 Pt 0.7437 0.8544 0.5138  1 As 2.47, 1 In 2.69, 2 Pt 2.73-2.74
8 Ba 0.7117 0.2889 0.5766  9 Pt 3.33-3.71
9 Pt 0.1471 0.2558 0.1115  1 As 2.47, 1 In 2.70, 2 Pt 2.73-2.74
10 Pt 0.8529 0.7442 0.8885  1 As 2.47, 1 In 2.70, 2 Pt 2.73-2.74

Properties
**Fermi-level density of states**: 5.18 states/eV per cell
**E_form**: -621 meV per atom
**Total magnetization**: 0.0 μB per formula unit
**Crystal system**: triclinic
**Calculated density**: 11.5 g/cm3

Record 9
## Rb2BaInAs2 (PBE)

Data for a relaxed structure of Rb2BaInAs2.

Cell lengths 4.7516, 9.2514, 9.7537 Å; angles 90.00, 90.00, 90.00 degrees
Last column: nearest neighbours and their distance in Å.
Fractional positions:
1 Rb 0.5000 0.0399 0.0869  5 As 3.67-4.01, 4 Rb 3.87-3.94, 2 In 4.09-4.10
2 Rb 0.0000 0.3659 0.1793  4 As 3.49-3.62, 1 Ba 3.71, 2 Rb 3.87, 2 In 3.89
3 Ba 0.0000 0.4725 0.5463  5 As 3.39-3.50, 1 Rb 3.71, 2 In 3.74
4 In 0.5000 0.1671 0.6856  3 As 2.73-2.85
5 As 0.0000 0.7523 0.1755  2 In 2.85
6 As 0.5000 0.2479 0.4168  1 In 2.73
7 Ba 0.0000 0.9725 0.4537  5 As 3.39-3.50, 1 Rb 3.71, 2 In 3.74
8 In 0.5000 0.6671 0.3144  3 As 2.73-2.85
9 Rb 0.0000 0.8659 0.8207  4 As 3.49-3.62, 1 Ba 3.71, 2 Rb 3.87, 2 In 3.89
10 Rb 0.5000 0.5399 0.9131  5 As 3.67-4.01, 4 Rb 3.87-3.94, 2 In 4.09-4.10
11 As 0.0000 0.2523 0.8245  2 In 2.85
12 As 0.5000 0.7479 0.5832  1 In 2.73

Properties
**Fermi-level density of states**: 3.34 states/eV per cell
**E_form**: -573 meV per atom
**Total magnetization**: 0.0 μB per formula unit
**Crystal system**: orthorhombic
**Calculated density**: 4.4 g/cm3

Record 10
## BaInAs2S8 (PBE)

Data for a relaxed structure of BaInAs2S8.

Cell lengths 6.0946, 6.0946, 9.2510 Å; angles 90.00, 90.00, 120.00 degrees
Last column: nearest neighbours and their distance in Å.
Fractional positions:
1 S 0.3333 0.6667 0.9811  1 As 2.17
2 As 0.6667 0.3333 0.2539  4 S 2.17-2.22
3 In 0.0000 0.0000 0.5000  6 S 2.65
4 S 0.0233 0.6805 0.3146  1 As 2.22
5 S 0.3195 0.3428 0.3146  1 As 2.22
6 Ba 0.0000 0.0000 0.0000  12 S 3.52-3.54
7 S 0.3428 0.0233 0.6854  1 As 2.22
8 S 0.6572 0.9767 0.3146  1 As 2.22
9 S 0.6667 0.3333 0.0189  1 As 2.17
10 As 0.3333 0.6667 0.7461  4 S 2.17-2.22
11 S 0.9767 0.3195 0.6854  1 As 2.22
12 S 0.6805 0.6572 0.6854  1 As 2.22

Properties
**Fermi-level density of states**: 14.00 states/eV per cell
**Formation energy from raw total energies**: -0.3719 eV per atom
**Total magnetization**: 0.0 μB per formula unit
**Crystal system**: trigonal
**Calculated density**: 3.7 g/cm3

Record 11
## Ba2InSbAs (PBE)

Data for a relaxed structure of Ba2InSbAs.

Cell lengths 4.6885, 8.3921, 10.2679 Å; angles 110.44, 90.00, 90.00 degrees
Last column: nearest neighbours and their distance in Å.
Fractional positions:
1 Ba 0.2500 0.1478 0.3862  2 As 3.26, 1 In 3.45, 1 Sb 3.62
2 Sb 0.7500 0.3113 0.7174  2 In 3.01
3 Sb 0.2500 0.6887 0.2826  2 In 3.01
4 Ba 0.7500 0.8522 0.6138  2 As 3.26, 1 In 3.45, 1 Sb 3.62
5 As 0.7500 0.1614 0.1699  1 In 2.64
6 Ba 0.2500 0.2495 0.9822  3 As 3.25-3.28
7 In 0.2500 0.5128 0.6762  1 As 2.64
8 As 0.2500 0.8386 0.8301  1 In 2.64
9 In 0.7500 0.4872 0.3238  1 As 2.64
10 Ba 0.7500 0.7505 0.0178  3 As 3.25-3.28

Properties
**Fermi-level density of states**: 5.68 states/eV per cell
**ΔE to the lowest computed polymorph**: 0.00 eV per formula unit
**Formation energy from raw total energies**: -0.8117 eV per atom
**Total magnetization**: 0.0 μB per formula unit
**Crystal system**: monoclinic
**Calculated density**: 5.1 g/cm3

Question: Number 11 is which compound?
Answer: Ba2InSbAs

Question: What is the total magnetization in the eighth record?
Answer: 0.0 μB per formula unit

Question: What is the calculated density in the third record?
Answer: 6.3 g/cm3

Question: Which of these has the highest calculated density?
Answer: Ba2InAsPt6